Material: TcTeRu2
Method: DFT, GGA-PBEsol
State: relaxed

As for the density of states at the Fermi level: 4.5 states/eV per cell. The energy relative to the elements, uncorrected is 0.46 eV/atom. The calculation puts the magnetization at 0.00 μB per cell.

It has space group P2/m (No. 10), with a = 4.5387 Å, b = 2.9443 Å, c = 4.5939 Å, α = 90.00°, β = 99.88° and γ = 90.00°. The inequivalent atoms are Tc at (0.0000, 0.0000, 0.0000), Te at (0.0000, 0.5000, 0.5000), Ru at (0.5000, 0.0000, 0.5000) and Ru at (0.5000, 0.5000, 0.0000).



Material: Nd3Co
Method: DFT, GGA-PBEsol
State: relaxed

For the energy of formation from the pure elements, the calculation gives -0.06 eV/atom. As for the density of states at the Fermi level: 18.8 states/eV per cell. The calculation puts the magnetization at 0.00 μB per cell.

It has space group Pnma (No. 62), with a = 6.9675 Å, b = 9.7137 Å, c = 6.3029 Å, α = 90.00°, β = 90.00° and γ = 90.00°. The inequivalent atoms are Nd at (0.0442, 0.2500, 0.1460), Nd at (0.1694, 0.0688, 0.6749) and Co at (0.1161, 0.7500, 0.4367).



Material: TiSF2
Method: DFT, GGA-PBEsol
State: relaxed

As for the density of states at the Fermi level: 3.1 states/eV per cell. The energy above the most stable polymorph in this dataset is 0.4034 eV/atom. The energy relative to the elements, uncorrected is -1.34 eV/atom. The calculation puts the magnetization at 0.00 μB per cell.

It has space group Fm-3m (No. 225), with a = 5.6524 Å, b = 5.6524 Å, c = 5.6524 Å, α = 90.00°, β = 90.00° and γ = 90.00°. The inequivalent atoms are Ti at (0.0000, 0.0000, 0.0000), S at (0.0000, 0.0000, 0.5000) and F at (0.2500, 0.2500, 0.2500).



Material: MgPH13O9
Method: DFT, GGA-PBEsol
State: relaxed

As for the density of states at the Fermi level: 0.0 states/eV per cell. The total DFT energy (no corrections) comes out at -5.401 eV/atom. The calculation puts the magnetization at 0.02 μB per cell.

It has space group R3 (No. 146, hexagonal axes), with a = 8.7492 Å, b = 8.7492 Å, c = 9.0004 Å, α = 90.00°, β = 90.00° and γ = 120.00°. The inequivalent atoms are Mg at (0.0000, 0.0000, 0.0000), P at (0.0000, 0.0000, 0.5133), H at (0.0000, 0.0000, 0.3563), H at (0.0315, 0.4612, 0.8346), H at (0.0742, 0.7285, 0.5462), H at (0.1478, 0.3638, 0.8266), H at (0.1713, 0.6917, 0.4131), O at (0.0047, 0.8095, 0.8548), O at (0.1389, 0.4671, 0.7904) and O at (0.1871, 0.1354, 0.5678).



Material: SrAlCd
Method: DFT, GGA-PBEsol
State: relaxed

For the energy of formation from the pure elements, the calculation gives -0.25 eV/atom. As for the density of states at the Fermi level: 1.5 states/eV per cell. The calculation puts the magnetization at 0.00 μB per cell.

It has space group P-6m2 (No. 187), with a = 4.8571 Å, b = 4.8571 Å, c = 3.8647 Å, α = 90.00°, β = 90.00° and γ = 120.00°. The inequivalent atoms are Sr at (0.0000, 0.0000, 0.0000), Al at (0.3333, 0.6667, 0.5000) and Cd at (0.6667, 0.3333, 0.5000).



Material: BeTeP2Cl
Method: DFT, GGA-PBEsol
State: relaxed

As for the density of states at the Fermi level: 3.1 states/eV per cell. The energy relative to the elements, uncorrected is 0.29 eV/atom. The calculation puts the magnetization at 0.00 μB per cell.

It has space group P4/mmm (No. 123), with a = 4.5460 Å, b = 4.5460 Å, c = 4.1523 Å, α = 90.00°, β = 90.00° and γ = 90.00°. The inequivalent atoms are Be at (0.0000, 0.0000, 0.0000), Te at (0.5000, 0.5000, 0.5000), P at (0.0000, 0.5000, 0.0000) and Cl at (0.0000, 0.0000, 0.5000).



Material: CaAlH2I
Method: DFT, GGA-PBEsol
State: relaxed

As for the density of states at the Fermi level: 1.3 states/eV per cell. The total DFT energy (no corrections) comes out at -2.357 eV/atom. The calculation puts the magnetization at 0.00 μB per cell.

It has space group P4/mmm (No. 123), with a = 4.3142 Å, b = 4.3142 Å, c = 6.1272 Å, α = 90.00°, β = 90.00° and γ = 90.00°. The inequivalent atoms are Ca at (0.0000, 0.0000, 0.0000), Al at (0.5000, 0.5000, 0.0000), H at (0.0000, 0.5000, 0.5000) and I at (0.5000, 0.5000, 0.5000).



Material: LaAgO3
Method: DFT, GGA-PBEsol
State: relaxed

As for the density of states at the Fermi level: 5.2 states/eV per cell. The energy relative to the elements, uncorrected is -0.92 eV/atom. The calculation puts the magnetization at 0.35 μB per cell.

It has space group Pm-3m (No. 221), with a = 4.3766 Å, b = 4.3766 Å, c = 4.3766 Å, α = 90.00°, β = 90.00° and γ = 90.00°. The inequivalent atoms are La at (0.0000, 0.0000, 0.0000), Ag at (0.5000, 0.5000, 0.5000) and O at (0.0000, 0.0000, 0.5000).